1.
Compound: SrTc2
Source: Alexandria via LeMat-Bulk
Functional: meta-GGA SCAN
Structure: PBEsol geometry

abc: 3.4796 3.4796 5.5430
angles: 90.00 90.00 90.00
Fractional positions:
Sr: 0.0000 0.0000 0.0000
Tc: 0.0000 0.5000 0.5000
Tc: 0.5000 0.0000 0.5000

**Space group**: P4/mmm
**DOS at the Fermi energy**: 2.8 states/eV per cell
**Mass density**: 7.018 Mg/m³
**Formation enthalpy at 0 K**: 612 meV per atom

2.
Compound: CrP2PdS
Source: Alexandria via LeMat-Bulk
Functional: meta-GGA SCAN
Structure: PBEsol geometry

abc: 4.3912 4.3912 4.2628
angles: 90.00 90.00 90.00
Fractional positions:
Cr: 0.0000 0.0000 0.0000
P: 0.0000 0.5000 0.0000
P: 0.5000 0.0000 0.0000
Pd: 0.5000 0.5000 0.5000
S: 0.0000 0.0000 0.5000

**Space group**: P4/mmm
**DOS at the Fermi energy**: 3.9 states/eV per cell
**Uncorrected formation energy**: 532 meV per atom
**Mass density**: 5.099 Mg/m³

3.
Compound: CaTiSbP3O12
Source: Alexandria via LeMat-Bulk
Functional: meta-GGA SCAN
Structure: PBEsol geometry

abc: 8.8860 8.8860 8.8860
angles: 59.42 59.42 59.42
Fractional positions:
Ca: 0.0000 0.0000 0.0000
Ca: 0.5000 0.5000 0.5000
Ti: 0.3503 0.3503 0.3503
Ti: 0.8503 0.8503 0.8503
Sb: 0.1406 0.1406 0.1406
Sb: 0.6406 0.6406 0.6406
P: 0.0334 0.4873 0.7099
P: 0.2099 0.9873 0.5334
P: 0.4873 0.7099 0.0334
P: 0.5334 0.2099 0.9873
P: 0.7099 0.0334 0.4873
P: 0.9873 0.5334 0.2099
O: 0.9995 0.6395 0.7751
O: 0.0014 0.3119 0.8686
O: 0.0702 0.9443 0.7342
O: 0.0809 0.4064 0.0935
O: 0.0935 0.0809 0.4064
O: 0.1395 0.4995 0.2751
O: 0.2343 0.4443 0.5702
O: 0.2751 0.1395 0.4995
O: 0.3119 0.8686 0.0014
O: 0.3686 0.8119 0.5014
O: 0.4064 0.0935 0.0809
O: 0.4443 0.5702 0.2342
O: 0.4995 0.2751 0.1395
O: 0.5014 0.3686 0.8119
O: 0.5702 0.2343 0.4443
O: 0.5809 0.5935 0.9064
O: 0.5935 0.9064 0.5809
O: 0.6395 0.7751 0.9995
O: 0.7343 0.0702 0.9443
O: 0.7751 0.9995 0.6395
O: 0.8119 0.5014 0.3686
O: 0.8686 0.0014 0.3119
O: 0.9064 0.5809 0.5935
O: 0.9443 0.7343 0.0702

**Space group**: R3c
**DOS at the Fermi energy**: 0.0 states/eV per cell
**Uncorrected formation energy**: -2609 meV per atom
**Mass density**: 3.355 Mg/m³

4.
Compound: BaZrCo
Source: Alexandria via LeMat-Bulk
Functional: meta-GGA SCAN
Structure: PBEsol geometry

abc: 4.6164 4.6164 4.6164
angles: 60.00 60.00 60.00
Fractional positions:
Ba: 0.0000 0.0000 0.0000
Zr: 0.7500 0.7500 0.7500
Co: 0.5000 0.5000 0.5000

**Space group**: F-43m
**DOS at the Fermi energy**: 2.2 states/eV per cell
**Mass density**: 6.862 Mg/m³
**Formation enthalpy at 0 K**: 1228 meV per atom

5.
Compound: Cu2BrCl
Source: Alexandria via LeMat-Bulk
Functional: meta-GGA SCAN
Structure: PBEsol geometry

abc: 6.6545 6.6545 6.6545
angles: 131.96 131.96 70.30
Fractional positions:
Cu: 0.1032 0.6250 0.9782
Cu: 0.3750 0.3532 0.4782
Cu: 0.6468 0.1250 0.0218
Cu: 0.8750 0.8968 0.5218
Br: 0.2500 0.7500 0.5000
Br: 0.5000 0.5000 0.0000
Cl: 0.0000 0.0000 0.0000
Cl: 0.7500 0.2500 0.5000

**Space group**: I-42d
**Distance to the lowest polymorph of the same formula**: 0 meV per atom
**Uncorrected formation energy**: -363 meV per atom
**Mass density**: 5.041 Mg/m³

6.
Compound: CuAsCl2
Source: Alexandria via LeMat-Bulk
Functional: meta-GGA SCAN
Structure: PBEsol geometry

abc: 4.6034 4.6034 4.6034
angles: 120.26 120.26 89.55
Fractional positions:
Cu: 0.0000 0.0000 0.0000
As: 0.5000 0.5000 0.0000
Cl: 0.2500 0.7500 0.5000
Cl: 0.7500 0.2500 0.5000

**Space group**: I4/mmm
**Distance to the lowest polymorph of the same formula**: 495 meV per atom
**DOS at the Fermi energy**: 2.4 states/eV per cell
**Uncorrected formation energy**: 479 meV per atom
**Mass density**: 5.060 Mg/m³

7.
Compound: Ba2SbAu
Source: Alexandria via LeMat-Bulk
Functional: meta-GGA SCAN
Structure: PBEsol geometry

abc: 4.8310 6.6489 6.6489
angles: 41.31 90.00 90.00
Fractional positions:
Ba: 0.0000 0.0000 0.0000
Ba: 0.5000 0.2767 0.2767
Sb: 0.5000 0.5664 0.5664
Au: 0.0000 0.7192 0.7192

**Space group**: Amm2
**DOS at the Fermi energy**: 1.2 states/eV per cell
**Uncorrected formation energy**: -1020 meV per atom
**Mass density**: 6.990 Mg/m³

8.
Compound: ScIr2Os
Source: Alexandria via LeMat-Bulk
Functional: meta-GGA SCAN
Structure: PBEsol geometry

abc: 2.9233 4.5202 4.5450
angles: 90.00 90.00 90.00
Fractional positions:
Sc: 0.0000 0.0000 0.0000
Ir: 0.0000 0.5000 0.5000
Ir: 0.5000 0.5000 0.0000
Os: 0.5000 0.0000 0.5000

**Space group**: Pmmm
**Distance to the lowest polymorph of the same formula**: 0 meV per atom
**DOS at the Fermi energy**: 3.9 states/eV per cell
**Mass density**: 17.132 Mg/m³
**Formation enthalpy at 0 K**: -170 meV per atom